No. 1
Compound: LaDy2In3AgPt2
Source: OQMD
Functional: PBE
Structure: relaxed

```
LaDy2In3AgPt2
1.0
3.8485 0.0000 0.0000
0.0000 6.8691 3.9421
0.0000 -6.8691 3.9421
La Dy In Ag Pt
1 2 3 1 2
Cartesian
0.0000 0.0000 0.0000
0.0000 -2.8225 3.0123
0.0000 2.8225 3.0123
1.9243 0.0000 2.5748
1.9243 -1.8620 5.6564
1.9243 1.8620 5.6564
0.0000 0.0000 4.6197
1.9243 -4.5322 4.6403
1.9243 4.5322 4.6403
```

***

No. 2
Compound: LiDyInAg
Source: OQMD
Functional: PBE
Structure: relaxed

```
LiDyInAg
1.0
0.0000 3.4440 3.4440
3.4440 0.0000 3.4440
3.4440 3.4440 0.0000
Li Dy In Ag
1 1 1 1
Cartesian
0.0000 0.0000 0.0000
5.1660 5.1660 5.1660
1.7220 1.7220 1.7220
3.4440 3.4440 3.4440
```

***

No. 3
Compound: DyLu2In3AgPt2
Source: OQMD
Functional: PBE
Structure: relaxed

```
DyLu2In3AgPt2
1.0
3.7196 0.0000 0.0000
0.0000 6.7606 3.8834
0.0000 -6.7606 3.8834
Dy Lu In Ag Pt
1 2 3 1 2
Cartesian
0.0000 0.0000 0.0000
0.0000 -2.7685 4.7649
0.0000 2.7685 4.7649
1.8598 -1.8324 2.1318
1.8598 1.8324 2.1318
1.8598 0.0000 5.2604
0.0000 0.0000 3.1825
1.8598 -4.4819 3.1679
1.8598 4.4819 3.1679
```

***

No. 4
Compound: Dy2LuIn3AgPt2
Source: OQMD
Functional: PBE
Structure: relaxed

```
Dy2LuIn3AgPt2
1.0
3.7466 0.0000 0.0000
0.0000 6.7477 3.9094
0.0000 -6.7477 3.9094
Dy Lu In Ag Pt
2 1 3 1 2
Cartesian
0.0000 -3.9864 3.9094
0.0000 3.9864 3.9094
0.0000 0.0000 4.8048
1.8733 -1.8097 2.6585
1.8733 1.8097 2.6585
1.8733 0.0000 7.3070
0.0000 0.0000 1.6075
1.8733 -2.2172 5.4997
1.8733 2.2172 5.4997
```

***

No. 5
Compound: Dy3Mg3In2Ag
Source: OQMD
Functional: PBE
Structure: relaxed

```
Dy3Mg3In2Ag
1.0
7.5425 0.0000 0.0000
-3.7712 6.5320 0.0000
0.0000 0.0000 4.5239
Dy Mg In Ag
3 3 2 1
Cartesian
-2.2051 3.8193 0.0000
1.5662 2.7127 0.0000
4.4101 0.0000 0.0000
-0.8991 1.5573 2.2619
1.7982 0.0000 2.2619
2.8722 4.9747 2.2619
0.0000 4.3547 2.2619
3.7712 2.1773 2.2619
0.0000 0.0000 0.0000
```

***

No. 6
Compound: Dy3Mg2InAgPd2
Source: OQMD
Functional: PBE
Structure: relaxed

```
Dy3Mg2InAgPd2
1.0
3.8943 0.0000 0.0000
0.0000 6.6377 3.8654
0.0000 -6.6377 3.8654
Dy Mg In Ag Pd
3 2 1 1 2
Cartesian
0.0000 0.0000 0.0000
0.0000 -2.7169 4.8831
0.0000 2.7169 4.8831
1.9471 -1.7060 2.2682
1.9471 1.7060 2.2682
1.9471 0.0000 5.2191
0.0000 0.0000 3.1531
1.9471 -4.4028 3.3043
1.9471 4.4028 3.3043
```

***

No. 7
Compound: Dy3MgIn3AgPd
Source: OQMD
Functional: PBE
Structure: relaxed

```
Dy3MgIn3AgPd
1.0
7.9606 0.0000 0.0000
-3.9803 6.8941 0.0000
0.0000 0.0000 3.8320
Dy Mg In Ag Pd
3 1 3 1 1
Cartesian
-2.1986 4.9454 0.0000
0.7967 2.5173 0.0000
1.4019 6.3254 0.0000
0.0000 0.0000 1.9160
2.8459 0.5024 1.9160
2.9924 4.1783 1.9160
6.1026 2.2134 1.9160
3.9803 2.2980 0.0000
0.0000 4.5961 1.9160
```

***

No. 8
Compound: Dy3Mg3ZnInAg
Source: OQMD
Functional: PBE
Structure: relaxed

```
Dy3Mg3ZnInAg
1.0
7.4379 0.0000 0.0000
-3.7190 6.4414 0.0000
0.0000 0.0000 4.5154
Dy Mg Zn In Ag
3 3 1 1 1
Cartesian
-2.1575 3.7902 0.0000
1.5153 2.6779 0.0000
0.6422 6.4148 0.0000
-0.8576 1.5542 2.2577
-1.9442 6.4070 2.2577
2.8017 4.9216 2.2577
0.0000 0.0000 0.0000
3.7190 2.1471 2.2577
0.0000 4.2943 2.2577
```

***

No. 9
Compound: NdDy2In3AgPd2
Source: OQMD
Functional: PBE
Structure: relaxed

```
NdDy2In3AgPd2
1.0
3.8449 0.0000 0.0000
0.0000 6.8198 3.9212
0.0000 -6.8198 3.9212
Nd Dy In Ag Pd
1 2 3 1 2
Cartesian
0.0000 0.0000 0.0000
0.0000 -2.7938 3.0252
0.0000 2.7938 3.0252
1.9225 0.0000 2.5573
1.9225 -1.8409 5.6638
1.9225 1.8409 5.6638
0.0000 0.0000 4.6158
1.9225 -4.5083 4.6387
1.9225 4.5083 4.6387
```

***

No. 10
Compound: NdDy2In3AgPt2
Source: OQMD
Functional: PBE
Structure: relaxed

```
NdDy2In3AgPt2
1.0
3.8251 0.0000 0.0000
0.0000 6.8374 3.9292
0.0000 -6.8374 3.9292
Nd Dy In Ag Pt
1 2 3 1 2
Cartesian
0.0000 0.0000 0.0000
0.0000 -2.8100 3.0201
0.0000 2.8100 3.0201
1.9126 0.0000 2.5482
1.9126 -1.8403 5.6691
1.9126 1.8403 5.6691
0.0000 0.0000 4.6189
1.9126 -4.5083 4.6446
1.9126 4.5083 4.6446
```

***

No. 11
Compound: Tb2DyIn3Ni2Ag
Source: OQMD
Functional: PBE
Structure: relaxed

```
Tb2DyIn3Ni2Ag
1.0
3.9037 0.0000 0.0000
0.0000 6.5377 3.7754
0.0000 -6.5377 3.7754
Tb Dy In Ni Ag
2 1 3 2 1
Cartesian
0.0000 -3.8385 3.7754
0.0000 3.8385 3.7754
0.0000 0.0000 2.8721
1.9518 0.0000 0.4852
1.9518 -1.7659 4.9668
1.9518 1.7659 4.9668
1.9518 -2.1744 2.2154
1.9518 2.1744 2.2154
0.0000 0.0000 5.9878
```

***

No. 12
Compound: TbDy2In3NiAg2
Source: OQMD
Functional: PBE
Structure: relaxed

```
TbDy2In3NiAg2
1.0
3.8944 0.0000 0.0000
0.0000 6.7181 3.8750
0.0000 -6.7181 3.8750
Tb Dy In Ni Ag
1 2 3 1 2
Cartesian
0.0000 0.0000 0.0000
0.0000 -2.6812 4.6427
0.0000 2.6812 4.6427
1.9472 -1.6625 2.1399
1.9472 1.6625 2.1399
1.9472 0.0000 5.0111
0.0000 0.0000 3.0989
1.9472 -4.4728 3.0951
1.9472 4.4728 3.0951
```

***

No. 13
Compound: DyTm2In3NiAg2
Source: OQMD
Functional: PBE
Structure: relaxed

```
DyTm2In3NiAg2
1.0
3.8129 0.0000 0.0000
0.0000 6.7118 3.8628
0.0000 -6.7118 3.8628
Dy Tm In Ni Ag
1 2 3 1 2
Cartesian
0.0000 0.0000 0.0000
0.0000 -2.6724 4.6245
0.0000 2.6724 4.6245
1.9064 -1.6760 2.1272
1.9064 1.6760 2.1272
1.9064 0.0000 5.0116
0.0000 0.0000 3.0962
1.9064 -4.4551 3.0832
1.9064 4.4551 3.0832
```

***

No. 14
Compound: Dy2TmIn3NiAg2
Source: OQMD
Functional: PBE
Structure: relaxed

```
Dy2TmIn3NiAg2
1.0
3.8636 0.0000 0.0000
0.0000 6.6796 3.8683
0.0000 -6.6796 3.8683
Dy Tm In Ni Ag
2 1 3 1 2
Cartesian
0.0000 -4.0146 3.8683
0.0000 4.0146 3.8683
0.0000 0.0000 4.6166
1.9318 -1.6566 2.5082
1.9318 1.6566 2.5082
1.9318 0.0000 7.3599
0.0000 0.0000 1.5545
1.9318 -2.2051 5.4081
1.9318 2.2051 5.4081
```

***

No. 15
Compound: DyY2In3Ni2Ag
Source: OQMD
Functional: PBE
Structure: relaxed

```
DyY2In3Ni2Ag
1.0
3.8017 0.0000 0.0000
0.0000 6.6338 3.8355
0.0000 -6.6338 3.8355
Dy Y In Ni Ag
1 2 3 2 1
Cartesian
0.0000 0.0000 0.0000
0.0000 -2.7188 4.7210
0.0000 2.7188 4.7210
1.9009 -1.8203 2.0966
1.9009 1.8203 2.0966
1.9009 0.0000 5.2520
1.9009 -4.4350 3.1544
1.9009 4.4350 3.1544
0.0000 0.0000 3.1452
```

***

No. 16
Compound: Dy3In3Ag2Pd
Source: OQMD
Functional: PBE
Structure: relaxed

```
Dy3In3Ag2Pd
1.0
7.7732 0.0000 0.0000
-3.8866 6.7318 0.0000
0.0000 0.0000 3.9020
Dy In Ag Pd
3 3 2 1
Cartesian
-2.3235 4.0244 0.0000
1.5631 2.7074 0.0000
4.6470 0.0000 0.0000
-1.0001 1.7322 1.9510
2.0002 0.0000 1.9510
2.8865 4.9996 1.9510
0.0000 4.4879 1.9510
3.8866 2.2439 1.9510
0.0000 0.0000 0.0000
```

***

No. 17
Compound: Dy3In3AgPd2
Source: OQMD
Functional: PBE
Structure: relaxed

```
Dy3In3AgPd2
1.0
7.8464 0.0000 0.0000
-3.9232 6.7952 0.0000
0.0000 0.0000 3.7816
Dy In Ag Pd
3 3 1 2
Cartesian
-2.3205 4.0192 0.0000
1.6027 2.7760 0.0000
4.6409 0.0000 0.0000
-1.0558 1.8286 1.8908
2.1115 0.0000 1.8908
2.8674 4.9665 1.8908
0.0000 0.0000 0.0000
0.0000 4.5301 1.8908
3.9232 2.2651 1.8908
```

***

No. 18
Compound: PrDy2In3AgPd2
Source: OQMD
Functional: PBE
Structure: relaxed

```
PrDy2In3AgPd2
1.0
3.8558 0.0000 0.0000
0.0000 6.8270 3.9244
0.0000 -6.8270 3.9244
Pr Dy In Ag Pd
1 2 3 1 2
Cartesian
0.0000 0.0000 0.0000
0.0000 -2.7966 3.0278
0.0000 2.7966 3.0278
1.9279 0.0000 2.5680
1.9279 -1.8461 5.6643
1.9279 1.8461 5.6643
0.0000 0.0000 4.6167
1.9279 -4.5065 4.6442
1.9279 4.5065 4.6442
```

***

No. 19
Compound: DyY2In3AgPd2
Source: OQMD
Functional: PBE
Structure: relaxed

```
DyY2In3AgPd2
1.0
3.7863 0.0000 0.0000
0.0000 6.7856 3.9292
0.0000 -6.7856 3.9292
Dy Y In Ag Pd
1 2 3 1 2
Cartesian
0.0000 0.0000 0.0000
0.0000 -2.7698 4.8189
0.0000 2.7698 4.8189
1.8932 -1.8222 2.1587
1.8932 1.8222 2.1587
1.8932 0.0000 5.3260
0.0000 0.0000 3.2121
1.8932 -4.5376 3.2208
1.8932 4.5376 3.2208
```

***

No. 20
Compound: Sm2DyIn3AgPt2
Source: OQMD
Functional: PBE
Structure: relaxed

```
Sm2DyIn3AgPt2
1.0
3.8911 0.0000 0.0000
0.0000 6.7801 3.9255
0.0000 -6.7801 3.9255
Sm Dy In Ag Pt
2 1 3 1 2
Cartesian
0.0000 -3.9830 3.9255
0.0000 3.9830 3.9255
0.0000 0.0000 2.9808
1.9455 0.0000 0.4547
1.9455 -1.7908 5.1819
1.9455 1.7908 5.1819
0.0000 0.0000 6.2137
1.9455 -2.2218 2.3121
1.9455 2.2218 2.3121
```

***

Number 1: uncorrected energy -4.9564 eV/atom. Number 2: uncorrected energy -3.4093 eV/atom. Number 3: uncorrected energy -4.9015 eV/atom. Number 4: uncorrected energy -4.9164 eV/atom. Number 5: uncorrected energy -3.3468 eV/atom. Number 6: uncorrected energy -4.2490 eV/atom. Number 7: uncorrected energy -4.0169 eV/atom. Number 8: uncorrected energy -3.1096 eV/atom. Number 9: uncorrected energy -4.6103 eV/atom. Number 10: uncorrected energy -4.9349 eV/atom. Number 11: uncorrected energy -4.4681 eV/atom. Number 12: uncorrected energy -4.1544 eV/atom. Number 13: uncorrected energy -4.1158 eV/atom. Number 14: uncorrected energy -4.1330 eV/atom. Number 15: uncorrected energy -4.8829 eV/atom. Number 16: uncorrected energy -4.2034 eV/atom. Number 17: uncorrected energy -4.6040 eV/atom. Number 18: uncorrected energy -4.6067 eV/atom. Number 19: uncorrected energy -5.0240 eV/atom. Number 20: uncorrected energy -4.9455 eV/atom.